Entry 1:
K2SmCuCl6 | PBE-GGA | relaxed

```
K2SmCuCl6
1.0
7.694 0.000 -0.006
0.000 8.326 0.000
0.064 0.000 9.353
Cl K Sm Cu
12 4 2 2
Direct
0.838 0.781 0.549
0.295 0.662 0.450
0.096 0.467 0.784
0.338 0.719 0.049
0.904 0.533 0.216
0.205 0.162 0.050
0.705 0.338 0.550
0.162 0.219 0.451
0.795 0.838 0.950
0.596 0.033 0.284
0.662 0.281 0.951
0.404 0.967 0.716
0.483 0.418 0.247
0.983 0.082 0.747
0.517 0.582 0.753
0.017 0.918 0.253
0.000 0.500 0.500
0.500 0.000 0.000
0.500 0.000 0.500
0.000 0.500 0.000
```

Calculated values
- formation energy from raw total energies (meV per atom) = -1770.6
- spin magnetization (μB per formula unit) = 0.1
- final energy (eV/atom) = -3.98
- energy above the lowest structure with this stoichiometry (kJ/mol of formula units) = 0

=====

Entry 2:
KNbSi2Pb | PBE-GGA | relaxed

```
KNbSi2Pb
1.0
-4.545 2.794 1.266
-2.873 -3.054 -3.573
-1.110 -3.608 3.976
K Nb Si Pb
1 1 2 1
Direct
0.500 0.500 0.500
0.000 0.500 0.000
0.500 0.000 0.000
0.000 0.000 0.500
0.000 0.000 0.000
```

Calculated values
- formation energy from raw total energies (meV per atom) = 1412.0
- spin magnetization (μB per formula unit) = 2.7
- final energy (eV/atom) = -3.73

=====

Entry 3:
Sc2CCl2 | PBE-GGA | relaxed

```
Sc2CCl2
1.0
-0.173 4.430 -4.660
0.138 -4.658 -4.433
-4.503 -0.153 0.021
Sc Cl C
4 4 2
Direct
0.202 0.298 0.000
0.702 0.202 0.000
0.298 0.798 0.000
0.798 0.702 0.000
0.837 0.337 0.500
0.663 0.837 0.500
0.337 0.163 0.500
0.163 0.663 0.500
0.000 0.000 0.000
0.500 0.500 0.000
```

Calculated values
- formation energy from raw total energies (meV per atom) = -586.2
- spin magnetization (μB per formula unit) = 0.0
- final energy (eV/atom) = -5.70
- energy above the lowest structure with this stoichiometry (kJ/mol of formula units) = 463

=====

Entry 4:
Hf3MgSc3 | PBE-GGA | relaxed

```
Hf3MgSc3
1.0
-3.687 -0.700 4.648
5.849 -4.251 4.942
4.576 6.049 -0.859
Sc Hf Mg
6 6 2
Direct
0.230 0.114 0.404
0.770 0.886 0.596
0.145 0.162 0.776
0.855 0.838 0.224
0.755 0.465 0.231
0.245 0.535 0.769
0.633 0.142 0.274
0.832 0.629 0.887
0.759 0.118 0.930
0.241 0.882 0.070
0.168 0.371 0.113
0.367 0.858 0.726
0.647 0.360 0.603
0.353 0.640 0.397
```

Calculated values
- spin magnetization (μB per formula unit) = 0.0
- final energy (eV/atom) = -7.05
- E_form (eV/atom) = 0.15

=====

Entry 5:
Nd3InI3 | PBE-GGA | relaxed

```
Nd3InI3
1.0
-4.010 4.869 -0.828
-1.639 -2.318 -5.693
-4.659 -3.376 2.716
I Nd In
3 3 1
Direct
0.000 0.500 0.000
0.500 0.000 0.000
0.000 0.000 0.500
0.500 0.500 0.000
0.000 0.500 0.500
0.500 0.000 0.500
0.500 0.500 0.500
```

Calculated values
- formation energy from raw total energies (meV per atom) = -962.7
- spin magnetization (μB per formula unit) = 0.0
- final energy (eV/atom) = -4.06
- energy above the lowest structure with this stoichiometry (kJ/mol of formula units) = 2

=====

Entry 6:
RePdNO2 | PBE-GGA | relaxed

```
RePdNO2
1.0
3.937 0.000 0.000
0.000 3.937 0.000
0.000 0.000 3.960
O Pd Re N
2 1 1 1
Direct
0.500 0.000 0.000
0.000 0.500 0.000
0.000 0.000 0.000
0.500 0.500 0.500
0.000 0.000 0.500
```

Calculated values
- formation energy from raw total energies (meV per atom) = 1331.0
- spin magnetization (μB per formula unit) = 3.2
- final energy (eV/atom) = -5.85

=====

Entry 7:
Y7Mg3Cu2 | PBE-GGA | relaxed

```
Y7Mg3Cu2
1.0
10.005 0.010 0.006
7.802 6.262 0.006
7.802 2.748 5.627
Y Mg Cu
7 3 2
Direct
0.069 0.576 0.576
0.576 0.069 0.576
0.931 0.424 0.424
0.424 0.424 0.931
0.576 0.576 0.069
0.424 0.931 0.424
0.500 0.500 0.500
0.000 0.000 0.000
0.862 0.862 0.862
0.138 0.138 0.138
0.334 0.334 0.334
0.666 0.666 0.666
```

Calculated values
- spin magnetization (μB per formula unit) = 0.0
- final energy (eV/atom) = -4.63
- E_form (eV/atom) = 0.22

=====

Entry 8:
Li2Ac3Zn2Pb4 | PBE-GGA | relaxed

```
Li2Ac3Zn2Pb4
1.0
-3.226 2.608 2.652
3.683 -2.375 2.244
9.250 12.946 -1.480
Zn Li Pb Ac
2 2 4 3
Direct
0.667 0.333 0.828
0.333 0.667 0.172
0.667 0.333 0.435
0.333 0.667 0.565
0.667 0.333 0.126
0.333 0.667 0.386
0.667 0.333 0.614
0.333 0.667 0.874
0.000 0.000 0.723
0.000 0.000 0.000
0.000 0.000 0.277
```

Calculated values
- spin magnetization (μB per formula unit) = 0.0
- final energy (eV/atom) = -3.38
- E_form (eV/atom) = -0.33

=====

What is the formula in the fifth record? Nd3InI3

=====

Repeat the eighth record exactly.
Li2Ac3Zn2Pb4 | PBE-GGA | relaxed

```
Li2Ac3Zn2Pb4
1.0
-3.226 2.608 2.652
3.683 -2.375 2.244
9.250 12.946 -1.480
Zn Li Pb Ac
2 2 4 3
Direct
0.667 0.333 0.828
0.333 0.667 0.172
0.667 0.333 0.435
0.333 0.667 0.565
0.667 0.333 0.126
0.333 0.667 0.386
0.667 0.333 0.614
0.333 0.667 0.874
0.000 0.000 0.723
0.000 0.000 0.000
0.000 0.000 0.277
```

Calculated values
- spin magnetization (μB per formula unit) = 0.0
- final energy (eV/atom) = -3.38
- E_form (eV/atom) = -0.33

=====

Which formula does entry 6 have? RePdNO2